(1)
A geometry-optimized Hf5ZrIn6 structure, computed with PBE.

Structure (extended XYZ):
```
12
Lattice="-0.9283 -4.3075 -0.2046 5.1509 -3.1914 -3.4622 4.3361 -1.2994 7.6479" Properties=species:S:1:pos:R:3 pbc="T T T"
Hf 1.4214 -2.5018 -1.2305
Hf 2.8012 -4.9971 -2.4363
Hf 3.5761 -3.1495 2.6012
Hf 2.1680 -0.6497 3.8239
Hf 4.9826 -5.6488 1.3798
In 0.6225 -2.4791 1.8143
In 2.0323 -4.9794 0.5919
In 4.3648 -3.1705 -0.4236
In 4.1939 -5.6278 4.4046
In 6.5264 -3.8189 3.3892
In 2.7852 -3.1278 5.6289
Zr 0.0000 0.0000 0.0000
```

## Properties
uncorrected energy: -6.410 eV per atom



(2)
A geometry-optimized HfIr2 structure, computed with PBE.

Structure (extended XYZ):
```
12
Lattice="5.6795 0.0000 0.0000 0.0000 3.9018 0.0000 0.0000 0.0000 8.6911" Properties=species:S:1:pos:R:3 pbc="T T T"
Hf 2.0049 2.9263 0.8816
Hf 4.8446 2.9263 3.4639
Hf 0.8349 0.9754 5.2272
Hf 3.6747 0.9754 7.8095
Ir 4.9176 2.9263 0.6765
Ir 3.4521 0.9754 2.1616
Ir 0.6123 0.9754 2.1839
Ir 2.0779 2.9263 3.6690
Ir 3.6016 0.9754 5.0221
Ir 5.0672 2.9263 6.5072
Ir 2.2274 2.9263 6.5295
Ir 0.7619 0.9754 8.0146
```

## Properties
ΔH_f (0 K): -0.80 eV per atom
uncorrected energy: -10.019 eV per atom



(3)
A geometry-optimized HfIr structure, computed with PBE.

Structure (extended XYZ):
```
2
Lattice="0.0000 2.9679 2.9679 2.9679 0.0000 2.9679 2.9679 2.9679 0.0000" Properties=species:S:1:pos:R:3 pbc="T T T"
Hf 0.0000 0.0000 0.0000
Ir 1.4839 1.4839 1.4839
```

## Properties
ΔH_f (0 K): 0.19 eV per atom
uncorrected energy: -9.219 eV per atom



(4)
A geometry-optimized Hf2Ir structure, computed with PBE.

Structure (extended XYZ):
```
6
Lattice="0.0000 3.8337 3.8337 3.8337 0.0000 3.8337 3.8337 3.8337 0.0000" Properties=species:S:1:pos:R:3 pbc="T T T"
Hf 2.8753 2.8753 4.7922
Hf 2.8753 4.7922 2.8753
Hf 4.7922 2.8753 2.8753
Hf 4.7922 4.7922 4.7922
Ir 0.0000 0.0000 0.0000
Ir 1.9169 1.9169 1.9169
```

## Properties
ΔH_f (0 K): 0.37 eV per atom
uncorrected energy: -9.220 eV per atom



(5)
A geometry-optimized HfIr structure, computed with PBE.

Structure (extended XYZ):
```
2
Lattice="3.0941 0.0000 0.0000 -1.5470 2.6796 0.0000 0.0000 0.0000 4.2968" Properties=species:S:1:pos:R:3 pbc="T T T"
Hf 1.5470 0.8932 3.2226
Ir 0.0000 1.7864 1.0742
```

## Properties
ΔH_f (0 K): -0.41 eV per atom
uncorrected energy: -9.818 eV per atom



(6)
A geometry-optimized HfIr structure, computed with PBE.

Structure (extended XYZ):
```
2
Lattice="3.2770 0.0000 0.0000 0.0000 3.2770 0.0000 0.0000 0.0000 3.2770" Properties=species:S:1:pos:R:3 pbc="T T T"
Hf 0.0000 0.0000 0.0000
Ir 1.6385 1.6385 1.6385
```

## Properties
ΔH_f (0 K): -0.89 eV per atom
uncorrected energy: -10.297 eV per atom



(7)
A geometry-optimized Hf5Ir3 structure, computed with PBE.

Structure (extended XYZ):
```
48
Lattice="7.8974 0.0000 0.0000 -3.9487 6.8394 0.0000 0.0000 0.0000 16.9545" Properties=species:S:1:pos:R:3 pbc="T T T"
Hf 1.9580 0.0000 0.0000
Hf 3.0912 5.2181 0.1252
Hf 4.4869 2.5905 1.4129
Hf -0.1301 4.4844 1.4129
Hf 6.0646 0.0680 2.7005
Hf 0.9790 1.6957 2.8258
Hf -2.9734 5.2861 2.9510
Hf 3.9487 2.1295 4.2386
Hf 0.0000 5.1810 4.2386
Hf 2.9734 5.2861 5.5263
Hf -0.9790 1.6957 5.6515
Hf 1.8328 0.0680 5.7767
Hf 3.4105 2.5905 7.0644
Hf 0.1301 4.4844 7.0644
Hf 4.8062 5.2181 8.3520
Hf 5.9395 0.0000 8.4772
Hf 0.8575 1.6213 8.6025
Hf 4.0789 2.3549 9.8901
Hf -0.5382 4.2489 9.8901
Hf -2.1159 6.7713 11.1778
Hf 2.9697 5.1437 11.3030
Hf 6.9221 1.5532 11.4282
Hf 3.9487 1.6584 12.7159
Hf 0.0000 4.7099 12.7159
Hf 0.9753 1.5532 14.0035
Hf -2.9697 5.1437 14.1287
Hf 2.1159 6.7713 14.2540
Hf 3.8186 2.3549 15.5416
Hf 0.5382 4.2489 15.5416
Hf -0.8575 1.6213 16.8293
Ir 4.8965 0.0000 0.0000
Ir 1.7520 2.6803 0.4024
Ir 3.1972 0.1771 2.4233
Ir 2.4483 4.2405 2.8258
Ir -1.4452 2.8574 3.2282
Ir 1.4452 2.8574 5.2491
Ir -2.4483 4.2405 5.6515
Ir 4.7002 0.1771 6.0539
Ir 6.1455 2.6803 8.0748
Ir 3.0009 0.0000 8.4772
Ir 2.1968 4.1591 8.8797
Ir 0.7515 6.6623 10.9006
Ir 1.5005 2.5989 11.3030
Ir 5.3940 3.9820 11.7054
Ir 2.5035 3.9820 13.7263
Ir -1.5005 2.5989 14.1287
Ir -0.7515 6.6623 14.5312
Ir -2.1967 4.1591 16.5521
```

## Properties
ΔH_f (0 K): -0.82 eV per atom
uncorrected energy: -10.359 eV per atom



(8)
A geometry-optimized Hf2Ir structure, computed with PBE.

Structure (extended XYZ):
```
24
Lattice="0.0000 6.1851 6.1851 6.1851 0.0000 6.1851 6.1851 6.1851 0.0000" Properties=species:S:1:pos:R:3 pbc="T T T"
Hf 0.7775 3.0926 3.0926
Hf 3.0926 0.7775 3.0926
Hf 3.0926 3.0926 5.4077
Hf 4.6389 4.6389 7.7314
Hf 2.3151 6.1851 6.1851
Hf 6.1851 2.3151 6.1851
Hf 6.1851 6.1851 10.0552
Hf 3.0926 5.4077 3.0926
Hf 5.4077 3.0926 3.0926
Hf 3.0926 3.0926 0.7775
Hf 4.6389 7.7314 4.6389
Hf 7.7314 4.6389 4.6389
Hf 7.7314 7.7314 7.7314
Hf 6.1851 10.0552 6.1851
Hf 6.1851 6.1851 2.3151
Hf 10.0552 6.1851 6.1851
Ir 4.9776 7.3927 7.3927
Ir 7.3927 4.9776 7.3927
Ir 4.9776 4.9776 4.9776
Ir 8.0702 8.0702 10.4853
Ir 7.3927 7.3927 4.9776
Ir 8.0702 10.4853 8.0702
Ir 10.4853 10.4853 10.4853
Ir 10.4853 8.0702 8.0702
```

## Properties
ΔH_f (0 K): -0.72 eV per atom
uncorrected energy: -10.309 eV per atom



Ordered total magnetic moment results: 0.0 0.0 0.0 0.1 0.0 0.0 0.0 0.0; unit μB/f.u..